a | # Cr2TcPb

A relaxed structure of Cr2TcPb (PBE, Alexandria).

Unit cell a=3.001 b=3.001 c=7.561 alpha=90.00 beta=90.00 gamma=90.00
Positions (direct):
Cr  0.000  0.000  0.000
Cr  0.500  0.500  0.203
Tc  0.500  0.500  0.818
Pb  0.000  0.000  0.519

Summary:
Spin magnetization = 2.477 μB/f.u.

b | # Cr2TcPb

A relaxed structure of Cr2TcPb (PBE, Alexandria).

Unit cell a=4.667 b=4.667 c=3.054 alpha=90.00 beta=90.00 gamma=103.74
Positions (direct):
Cr  0.000  0.500  0.000
Cr  0.500  0.000  0.000
Tc  0.000  0.000  0.500
Pb  0.500  0.500  0.500

Summary:
Spin magnetization = 4.109 μB/f.u.

The most stable of them is a.

a | # Cr2TcPb

A relaxed structure of Cr2TcPb (PBE, Alexandria).

Unit cell a=4.526 b=4.526 c=4.526 alpha=60.00 beta=60.00 gamma=60.00
Positions (direct):
Cr  0.000  0.000  0.000
Cr  0.250  0.250  0.250
Tc  0.750  0.750  0.750
Pb  0.500  0.500  0.500

Summary:
Spin magnetization = 5.010 μB/f.u.

b | # Cr2TcPb

A relaxed structure of Cr2TcPb (PBE, Alexandria).

Unit cell a=8.896 b=8.896 c=8.896 alpha=19.44 beta=19.44 gamma=19.44
Positions (direct):
Cr  0.000  0.000  0.000
Cr  0.264  0.264  0.264
Tc  0.736  0.736  0.736
Pb  0.499  0.499  0.499

Summary:
Spin magnetization = 2.101 μB/f.u.

c | # Cr2TcPb

A relaxed structure of Cr2TcPb (PBE, Alexandria).

Unit cell a=5.095 b=5.095 c=5.095 alpha=142.78 beta=129.15 gamma=64.68
Positions (direct):
Cr  0.239  0.239  0.000
Cr  0.761  0.761  0.000
Tc  0.000  0.500  0.500
Pb  0.500  0.000  0.500

Summary:
Spin magnetization = 0.002 μB/f.u.

d | # Cr2TcPb

A relaxed structure of Cr2TcPb (PBE, Alexandria).

Unit cell a=4.795 b=4.795 c=4.821 alpha=101.14 beta=101.14 gamma=36.78
Positions (direct):
Cr  0.238  0.238  0.169
Cr  0.762  0.762  0.831
Tc  0.500  0.500  0.000
Pb  0.000  0.000  0.500

Summary:
Spin magnetization = 0.000 μB/f.u.

The most stable of them is d.